No. 1
Density functional theory data (GGA-PBEsol) for a relaxed structure of Cs3LiI.

Lattice parameters (Å, degrees): 7.112 7.112 7.112 90.00 90.00 90.00
Fractional coordinates of all 5 atoms:
Cs (0.000, 0.500, 0.000)
Cs (0.000, 0.000, 0.500)
Cs (0.500, 0.000, 0.000)
I (0.500, 0.500, 0.500)
Li (0.000, 0.000, 0.000)

Total DFT energy (no corrections): -7.77 eV for the cell shown
Space group: Pm-3m, No. 221
Calculated density: 2.46 g cm⁻³



No. 2
Density functional theory data (GGA-PBEsol) for a relaxed structure of Cs3LiI4.

Lattice parameters (Å, degrees): 5.131 8.912 17.092 90.00 98.60 90.00
Fractional coordinates of all 16 atoms:
Cs (0.726, 0.750, 0.455)
Cs (0.274, 0.250, 0.545)
Cs (0.371, 0.750, 0.741)
Cs (0.629, 0.250, 0.259)
Cs (0.500, 0.000, 0.000)
Cs (0.500, 0.500, 0.000)
I (0.820, 0.002, 0.638)
I (0.180, 0.502, 0.362)
I (0.180, 0.998, 0.362)
I (0.820, 0.498, 0.638)
I (0.594, 0.750, 0.189)
I (0.406, 0.250, 0.811)
I (0.953, 0.750, 0.906)
I (0.047, 0.250, 0.094)
Li (0.129, 0.750, 0.259)
Li (0.871, 0.250, 0.741)

Total DFT energy (no corrections): -46.72 eV for the cell shown
Space group: P2_1/m, No. 11
Calculated density: 3.92 g cm⁻³



No. 3
Density functional theory data (GGA-PBEsol) for a relaxed structure of CsLiI2.

Lattice parameters (Å, degrees): 4.575 10.435 13.340 90.00 90.00 102.66
Fractional coordinates of all 16 atoms:
Cs (0.345, 0.689, 0.515)
Cs (0.655, 0.311, 0.015)
Cs (0.511, 0.021, 0.738)
Cs (0.489, 0.979, 0.238)
I (0.308, 0.615, 0.017)
I (0.692, 0.385, 0.517)
I (0.144, 0.288, 0.244)
I (0.856, 0.712, 0.744)
I (0.001, 0.002, 0.995)
I (0.999, 0.998, 0.495)
I (0.839, 0.678, 0.283)
I (0.161, 0.322, 0.783)
Li (0.871, 0.742, 0.951)
Li (0.129, 0.258, 0.451)
Li (0.277, 0.554, 0.216)
Li (0.723, 0.446, 0.716)

Total DFT energy (no corrections): -47.61 eV for the cell shown
Space group: Cmc2_1, No. 36
Calculated density: 4.21 g cm⁻³